TbAlPt | SCAN | PBEsol geometry

a = 6.8646 Å, b = 4.3698 Å, c = 7.6911 Å
α = 90.00°, β = 90.00°, γ = 90.00°
Closest atoms and distances in Å follow each position.
Sites, in units of the cell vectors:
Tb: 0.0284 0.2500 0.1818  5 Pt 2.83-3.05, 3 Al 3.06-3.16
Tb: 0.4716 0.7500 0.6818  5 Pt 2.83-3.05, 3 Al 3.06-3.16
Tb: 0.5284 0.2500 0.3182  5 Pt 2.83-3.05, 3 Al 3.06-3.16
Tb: 0.9716 0.7500 0.8182  5 Pt 2.83-3.05, 3 Al 3.06-3.16
Al: 0.1453 0.2500 0.5653  4 Pt 2.58-2.65
Al: 0.3547 0.7500 0.0653  4 Pt 2.58-2.65
Al: 0.6453 0.2500 0.9347  4 Pt 2.58-2.65
Al: 0.8547 0.7500 0.4347  4 Pt 2.58-2.65
Pt: 0.2272 0.7500 0.3857  4 Al 2.58-2.65, 1 Tb 2.83
Pt: 0.2728 0.2500 0.8857  4 Al 2.58-2.65, 1 Tb 2.83
Pt: 0.7272 0.7500 0.1143  4 Al 2.58-2.65, 1 Tb 2.83
Pt: 0.7728 0.2500 0.6143  4 Al 2.58-2.65, 1 Tb 2.83

Properties
- N(E_F): 0.49 states/eV per atom
- Total magnetization: 0.00 μB per atom
- Formation enthalpy at 0 K: -1393 meV per atom
- DFT total energy: -42.96 eV per atom


ZnCuBr | SCAN | PBEsol geometry

a = 3.4320 Å, b = 3.4320 Å, c = 5.2511 Å
α = 90.00°, β = 90.00°, γ = 120.00°
Closest atoms and distances in Å follow each position.
Sites, in units of the cell vectors:
Zn: 0.0000 0.0000 0.0000  3 Cu 2.48
Cu: 0.6667 0.3333 0.2837  3 Zn 2.48, 3 Br 2.59
Br: 0.3333 0.6667 0.6023  3 Cu 2.59, 3 Zn 2.88

Properties
- N(E_F): 0.07 states/eV per atom
- Total magnetization: 0.00 μB per atom
- Formation energy from raw total energies: -0.014 eV/atom
- DFT total energy: -16.07 eV per atom